Below is a geometry-optimized LaGe2PdRh2 structure, with properties calculated at the PBE-GGA level.

Results
As for the crystal system: tetragonal. Its space group is P4/mmm (123). As for the formation energy: -1.51 eV per formula unit.

Lattice parameters (Å, degrees): 4.6578 4.6578 5.6121 90.00 90.00 90.00
Sites, in units of the cell vectors:
La 0.0000 0.0000 0.0000
Ge 0.0000 0.5000 0.5000
Ge 0.5000 0.0000 0.5000
Pd 0.0000 0.0000 0.5000
Rh 0.5000 0.5000 0.2476
Rh 0.5000 0.5000 0.7524



Below is a geometry-optimized CoMoOs2 structure, with properties calculated at the PBE-GGA level.

Results
As for the crystal system: tetragonal. Its space group is I4/mmm (139). As for the formation energy: 0.33 eV per formula unit. As for the energy above the most stable polymorph in this dataset: 53 meV per atom.

Lattice parameters (Å, degrees): 3.8368 3.8368 7.5125 90.00 90.00 90.00
Sites, in units of the cell vectors:
Co 0.0000 0.0000 0.0000
Co 0.5000 0.5000 0.5000
Mo 0.0000 0.0000 0.5000
Mo 0.5000 0.5000 0.0000
Os 0.0000 0.5000 0.2500
Os 0.0000 0.5000 0.7500
Os 0.5000 0.0000 0.2500
Os 0.5000 0.0000 0.7500



Below is a geometry-optimized InGaAuS2 structure, with properties calculated at the PBE-GGA level.

Results
As for the crystal system: tetragonal. Its space group is P4/mmm (123). The uncorrected formation energy is 0.645 eV/atom.

Lattice parameters (Å, degrees): 4.9938 4.9938 5.4390 90.00 90.00 90.00
Sites, in units of the cell vectors:
In 0.0000 0.0000 0.0000
Ga 0.0000 0.0000 0.5000
Au 0.5000 0.5000 0.5000
S 0.0000 0.5000 0.0000
S 0.5000 0.0000 0.0000



Below is a geometry-optimized NpUP structure, with properties calculated at the PBE-GGA level.

Results
As for the crystal system: monoclinic. Its space group is P2_1/c (14). As for the formation energy: -1.75 eV per formula unit. As for the energy above the most stable polymorph in this dataset: 0 meV per atom.

Lattice parameters (Å, degrees): 6.4662 5.2106 6.7113 90.00 102.90 90.00
Sites, in units of the cell vectors:
Np 0.1140 0.1410 0.3319
Np 0.1140 0.3590 0.8319
Np 0.8860 0.6410 0.1681
Np 0.8860 0.8590 0.6681
U 0.3780 0.1435 0.6651
U 0.3780 0.3565 0.1651
U 0.6220 0.6435 0.8349
U 0.6220 0.8565 0.3349
P 0.2490 0.6478 0.5010
P 0.2490 0.8522 0.0010
P 0.7510 0.1478 0.9990
P 0.7510 0.3522 0.4990



Below is a geometry-optimized ZrCu3Si structure, with properties calculated at the PBE-GGA level.

Results
As for the crystal system: cubic. Its space group is Pm-3m (221). As for the energy above the most stable polymorph in this dataset: 1309 meV per atom. The uncorrected formation energy is 1.551 eV/atom.

Lattice parameters (Å, degrees): 4.8530 4.8530 4.8530 90.00 90.00 90.00
Sites, in units of the cell vectors:
Zr 0.0000 0.0000 0.0000
Cu 0.0000 0.0000 0.5000
Cu 0.0000 0.5000 0.0000
Cu 0.5000 0.0000 0.0000
Si 0.5000 0.5000 0.5000



Below is a geometry-optimized MgReSi2 structure, with properties calculated at the PBE-GGA level.

Results
As for the crystal system: orthorhombic. Its space group is Pmmm (47). The uncorrected formation energy is 0.108 eV/atom.

Lattice parameters (Å, degrees): 2.8440 4.3529 4.9948 90.00 90.00 90.00
Sites, in units of the cell vectors:
Mg 0.0000 0.0000 0.0000
Re 0.5000 0.0000 0.5000
Si 0.5000 0.5000 0.2490
Si 0.5000 0.5000 0.7510



Below is a geometry-optimized Rb3AgRu structure, with properties calculated at the PBE-GGA level.

Results
As for the crystal system: cubic. Its space group is Pm-3m (221). As for the formation energy: 4.71 eV per formula unit. As for the energy above the most stable polymorph in this dataset: 0 meV per atom.

Lattice parameters (Å, degrees): 6.4359 6.4359 6.4359 90.00 90.00 90.00
Sites, in units of the cell vectors:
Rb 0.0000 0.0000 0.5000
Rb 0.0000 0.5000 0.0000
Rb 0.5000 0.0000 0.0000
Ag 0.5000 0.5000 0.5000
Ru 0.0000 0.0000 0.0000



Below is a geometry-optimized AlTeI2Cl structure, with properties calculated at the PBE-GGA level.

Results
As for the crystal system: tetragonal. Its space group is P4/mmm (123). As for the energy above the most stable polymorph in this dataset: 0 meV per atom. The uncorrected formation energy is 0.080 eV/atom.

Lattice parameters (Å, degrees): 5.4459 5.4459 5.4913 90.00 90.00 90.00
Sites, in units of the cell vectors:
Al 0.0000 0.0000 0.0000
Te 0.0000 0.0000 0.5000
I 0.0000 0.5000 0.0000
I 0.5000 0.0000 0.0000
Cl 0.5000 0.5000 0.5000